# RbPd3O

An optimized crystal structure of RbPd3O (PBE, Alexandria via LeMat-Bulk).

Cell lengths 4.485, 4.485, 4.485 Å; angles 90.00, 90.00, 90.00 degrees
Fractional coordinates of all 5 atoms:
Rb: 0.000 0.000 0.000
Pd: 0.000 0.500 0.500
Pd: 0.500 0.000 0.500
Pd: 0.500 0.500 0.000
O: 0.500 0.500 0.500

E_form (uncorrected) ... 168 meV per atom
E above lowest polymorph ... 0.000 eV/atom
Crystal system ... cubic
DOS at the Fermi energy ... 4.006 states/eV per cell

# MgH6Ir3

An optimized crystal structure of MgH6Ir3 (PBE, Alexandria via LeMat-Bulk).

Cell lengths 6.809, 6.809, 4.873 Å; angles 97.03, 97.03, 24.56 degrees
Fractional coordinates of all 10 atoms:
Mg: 0.000 0.000 0.000
H: 0.147 0.147 0.670
H: 0.259 0.259 0.401
H: 0.385 0.385 0.761
H: 0.444 0.444 0.280
H: 0.550 0.550 0.688
H: 0.613 0.613 0.167
Ir: 0.332 0.332 0.097
Ir: 0.661 0.661 0.873
Ir: 0.822 0.822 0.580

E above lowest polymorph ... 0.034 eV/atom
Crystal system ... monoclinic
DOS at the Fermi energy ... 3.404 states/eV per cell

# Ti3AuC

An optimized crystal structure of Ti3AuC (PBE, Alexandria via LeMat-Bulk).

Cell lengths 7.543, 5.457, 7.997 Å; angles 90.00, 113.82, 90.00 degrees
Fractional coordinates of all 20 atoms:
Ti: 0.051 0.085 0.351
Ti: 0.051 0.415 0.851
Ti: 0.189 0.567 0.539
Ti: 0.189 0.933 0.039
Ti: 0.355 0.137 0.767
Ti: 0.355 0.363 0.267
Ti: 0.645 0.637 0.733
Ti: 0.645 0.863 0.233
Ti: 0.811 0.067 0.961
Ti: 0.811 0.433 0.461
Ti: 0.949 0.585 0.149
Ti: 0.949 0.915 0.649
Au: 0.390 0.679 0.893
Au: 0.390 0.821 0.393
Au: 0.610 0.179 0.607
Au: 0.610 0.321 0.107
C: 0.075 0.249 0.604
C: 0.075 0.251 0.104
C: 0.925 0.749 0.896
C: 0.925 0.751 0.396

E above lowest polymorph ... 0.142 eV/atom
Crystal system ... monoclinic
DOS at the Fermi energy ... 11.639 states/eV per cell

Which value of DOS at the Fermi energy does entry 3 give?
11.639 states/eV per cell